Ba2TbMgSe5 | PBE | optimized geometry

Lattice parameters (Å, degrees): 4.4046 9.5797 13.2843 90.00 90.00 103.29
Element x y z (fractional)
1 Tb 0.2093 0.4186 0.0145
2 Tb 0.7907 0.5814 0.5145
3 Se 0.6883 0.3767 0.8714
4 Se 0.6401 0.2803 0.5040
5 Se 0.3117 0.6233 0.3714
6 Se 0.7103 0.4206 0.1572
7 Se 0.3599 0.7197 0.0040
8 Se 0.0543 0.1087 0.0514
9 Se 0.2897 0.5794 0.6572
10 Se 0.9457 0.8913 0.5514
11 Se 0.4958 0.9916 0.7764
12 Se 0.5042 0.0084 0.2764
13 Ba 0.1297 0.2594 0.3131
14 Ba 0.8703 0.7406 0.8131
15 Ba 0.8897 0.7794 0.1862
16 Ba 0.1103 0.2206 0.6862
17 Mg 0.5529 0.1057 0.9500
18 Mg 0.4471 0.8943 0.4500

Values from the calculation:
N(E_F) = 16.11 states/eV per cell
E_tot = -84.76 eV per cell